Entry 1:
Compound: Rh2W2Se
Source: Alexandria via LeMat-Bulk
Functional: GGA-PBEsol
Structure: optimized geometry

It has space group I4/mmm (No. 139), with a = 3.531 Å, b = 3.531 Å, c = 13.127 Å, α = 90.00°, β = 90.00° and γ = 90.00°. The inequivalent atoms are Rh at (0.000, 0.500, 0.250), W at (0.000, 0.000, 0.108) and Se at (0.000, 0.000, 0.500).

The energy relative to the elements, uncorrected comes out at 0.487 eV per atom.



Entry 2:
Compound: TiBeC2
Source: Alexandria via LeMat-Bulk
Functional: GGA-PBEsol
Structure: optimized geometry

It has space group I-42d (No. 122), with a = 3.546 Å, b = 3.546 Å, c = 11.217 Å, α = 90.00°, β = 90.00° and γ = 90.00°. The inequivalent atoms are Ti at (0.000, 0.000, 0.000), Be at (0.000, 0.000, 0.500) and C at (0.090, 0.250, 0.625).

The calculated formation energy comes out at 466 meV/atom.



Entry 3:
Compound: Li2YScCu
Source: Alexandria via LeMat-Bulk
Functional: GGA-PBEsol
Structure: optimized geometry

It has space group P4/mmm (No. 123), with a = 4.949 Å, b = 4.949 Å, c = 5.043 Å, α = 90.00°, β = 90.00° and γ = 90.00°. The inequivalent atoms are Li at (0.000, 0.500, 0.000), Y at (0.000, 0.000, 0.000), Sc at (0.000, 0.000, 0.500) and Cu at (0.500, 0.500, 0.500).

The calculated formation energy comes out at 1415 meV/atom.



Entry 4:
Compound: NiPbAu2
Source: Alexandria via LeMat-Bulk
Functional: GGA-PBEsol
Structure: optimized geometry

It has space group Imm2 (No. 44), with a = 4.118 Å, b = 4.152 Å, c = 8.163 Å, α = 90.00°, β = 90.00° and γ = 90.00°. The inequivalent atoms are Ni at (0.000, 0.000, 0.000), Pb at (0.000, 0.500, 0.749), Au at (0.000, 0.000, 0.500) and Au at (0.000, 0.500, 0.251).

The calculated formation energy comes out at 184 meV/atom.



Entry 5:
Compound: Ba2LaSi
Source: Alexandria via LeMat-Bulk
Functional: GGA-PBEsol
Structure: optimized geometry

It has space group Imm2 (No. 44), with a = 4.213 Å, b = 5.717 Å, c = 12.485 Å, α = 90.00°, β = 90.00° and γ = 90.00°. The inequivalent atoms are Ba at (0.000, 0.000, 0.000), Ba at (0.000, 0.500, 0.192), La at (0.000, 0.500, 0.814) and Si at (0.000, 0.000, 0.478).

The energy relative to the elements, uncorrected comes out at -0.118 eV per atom.



Entry 6:
Compound: Li5Cu2Ge2
Source: Alexandria via LeMat-Bulk
Functional: GGA-PBEsol
Structure: optimized geometry

It has space group P-3m1 (No. 164), with a = 4.1604 Å, b = 4.1604 Å, c = 7.9321 Å, α = 90.00°, β = 90.00° and γ = 120.00°. The inequivalent atoms are Li at (0.0000, 0.0000, 0.0000), Li at (0.3333, 0.6667, 0.1151), Li at (0.3333, 0.6667, 0.4329), Cu at (0.0000, 0.0000, 0.3119) and Ge at (0.3333, 0.6667, 0.7589).

The calculated formation energy comes out at -312 meV/atom.



Entry 7:
Compound: ScZn2Hg
Source: Alexandria via LeMat-Bulk
Functional: GGA-PBEsol
Structure: optimized geometry

It has space group P4/mmm (No. 123), with a = 4.095 Å, b = 4.095 Å, c = 4.203 Å, α = 90.00°, β = 90.00° and γ = 90.00°. The inequivalent atoms are Sc at (0.000, 0.000, 0.000), Zn at (0.000, 0.500, 0.500) and Hg at (0.500, 0.500, 0.000).

The calculated formation energy comes out at -278 meV/atom.



Entry 8:
Compound: SbMo
Source: Alexandria via LeMat-Bulk
Functional: GGA-PBEsol
Structure: optimized geometry

It has space group P4/nmm (No. 129, origin choice 2), with a = 3.195 Å, b = 3.195 Å, c = 7.933 Å, α = 90.00°, β = 90.00° and γ = 90.00°. The inequivalent atoms are Sb at (0.250, 0.250, 0.185) and Mo at (0.250, 0.250, 0.587).

The energy relative to the elements, uncorrected comes out at 0.063 eV per atom.



Entry 9:
Compound: ZrHgMo2
Source: Alexandria via LeMat-Bulk
Functional: GGA-PBEsol
Structure: optimized geometry

It has space group P4/mmm (No. 123), with a = 2.771 Å, b = 2.771 Å, c = 9.266 Å, α = 90.00°, β = 90.00° and γ = 90.00°. The inequivalent atoms are Zr at (0.000, 0.000, 0.000), Hg at (0.000, 0.000, 0.500) and Mo at (0.500, 0.500, 0.258).

The calculated formation energy comes out at 409 meV/atom.



Entry 10:
Compound: ZnSe3
Source: Alexandria via LeMat-Bulk
Functional: GGA-PBEsol
Structure: optimized geometry

It has space group Cmcm (No. 63), with a = 7.190 Å, b = 14.114 Å, c = 3.728 Å, α = 90.00°, β = 90.00° and γ = 90.00°. The inequivalent atoms are Zn at (0.000, 0.073, 0.250), Se at (0.000, 0.244, 0.750) and Se at (0.236, 0.119, 0.750).

The energy relative to the elements, uncorrected comes out at 0.085 eV per atom.



Entry 11:
Compound: TlGe3P
Source: Alexandria via LeMat-Bulk
Functional: GGA-PBEsol
Structure: optimized geometry

It has space group Pm-3m (No. 221), with a = 4.789 Å, b = 4.789 Å, c = 4.789 Å, α = 90.00°, β = 90.00° and γ = 90.00°. The inequivalent atoms are Tl at (0.000, 0.000, 0.000), Ge at (0.000, 0.500, 0.500) and P at (0.500, 0.500, 0.500).

The calculated formation energy comes out at 505 meV/atom.



Entry 12:
Compound: Ta2AgP
Source: Alexandria via LeMat-Bulk
Functional: GGA-PBEsol
Structure: optimized geometry

It has space group Immm (No. 71), with a = 3.552 Å, b = 4.694 Å, c = 7.754 Å, α = 90.00°, β = 90.00° and γ = 90.00°. The inequivalent atoms are Ta at (0.000, 0.000, 0.217), Ag at (0.000, 0.500, 0.000) and P at (0.000, 0.500, 0.500).

The calculated formation energy comes out at -69 meV/atom.



Please write out number 2 again, unchanged.
Compound: TiBeC2
Source: Alexandria via LeMat-Bulk
Functional: GGA-PBEsol
Structure: optimized geometry

It has space group I-42d (No. 122), with a = 3.546 Å, b = 3.546 Å, c = 11.217 Å, α = 90.00°, β = 90.00° and γ = 90.00°. The inequivalent atoms are Ti at (0.000, 0.000, 0.000), Be at (0.000, 0.000, 0.500) and C at (0.090, 0.250, 0.625).

The calculated formation energy comes out at 466 meV/atom.